Computed, not measured: KCdRhF6 after structural relaxation at the PBE level of DFT.

Structure (CIF):
```
data_KCdRhF6
_symmetry_space_group_name_H-M 'I m m a'
_symmetry_Int_Tables_number 74
_symmetry_space_group_name_Hall '-I 2b 2'
_cell_length_a 7.589
_cell_length_b 7.624
_cell_length_c 11.016
_cell_angle_alpha 90.00
_cell_angle_beta 90.00
_cell_angle_gamma 90.00
loop_
_atom_site_label
_atom_site_type_symbol
_atom_site_fract_x
_atom_site_fract_y
_atom_site_fract_z
K1 K 0.000 0.250 0.102
Cd1 Cd 0.250 0.250 0.750
Rh1 Rh 0.000 0.000 0.500
F1 F 0.000 0.250 0.442
F2 F 0.000 0.250 0.853
F3 F 0.194 0.022 0.623
```

Uncorrected formation energy ... -2.04 eV per atom